# 1
This record from the Alexandria database describes an optimized crystal structure of Ce6C3NF2. The functional is PBE-GGA.

Values from the calculation:
E_form (uncorrected)	-1.262	eV/atom
size of the total moment	0.00	Bohr magnetons per cell
calculated total energy	-90.48	eV/cell
space-group type	C2/m

abc: 3.6405 7.2815 8.1017
angles: 102.35 102.98 90.00
Last column: nearest neighbours and their distance in Å.
Positions (direct):
Ce1 0.3350 0.9279 0.6699  3 C 2.53-2.60, 1 N 2.54, 2 F 2.63
Ce2 0.6619 0.5937 0.3238  3 C 2.50, 3 F 2.64-2.65
Ce3 0.6650 0.0721 0.3301  3 C 2.53-2.60, 1 N 2.54, 2 F 2.63
Ce4 0.9983 0.2438 0.9966  3 C 2.53-2.60, 2 N 2.55, 1 F 2.59
Ce5 0.0017 0.7562 0.0034  3 C 2.53-2.60, 2 N 2.55, 1 F 2.59
Ce6 0.3381 0.4063 0.6762  3 C 2.50, 3 F 2.64-2.65
C1 0.5000 0.5000 0.0000  6 Ce 2.50-2.60
C2 0.8340 0.1690 0.6679  6 Ce 2.50-2.60
C3 0.1660 0.8310 0.3321  6 Ce 2.50-2.60
N1 0.5000 0.0000 0.0000  6 Ce 2.54-2.55
F1 0.8339 0.6673 0.6677  6 Ce 2.59-2.65
F2 0.1661 0.3327 0.3323  6 Ce 2.59-2.65

=====

# 2
This record from the Alexandria database describes an optimized crystal structure of CeCO3F. The functional is PBE-GGA.

Values from the calculation:
E_form (uncorrected)	-2.602	eV/atom
size of the total moment	6.00	Bohr magnetons per cell
calculated total energy	-285.11	eV/cell
space-group type	P-62c

abc: 7.1536 7.1536 9.8564
angles: 90.00 90.00 120.00
Last column: nearest neighbours and their distance in Å.
Positions (direct):
Ce1 0.3406 0.0000 0.5000  3 F 2.41-2.44, 6 O 2.56-2.62
Ce2 0.0000 0.3406 0.5000  3 F 2.41-2.44, 6 O 2.56-2.62
Ce3 0.6594 0.6594 0.0000  3 F 2.41-2.44, 6 O 2.56-2.62
Ce4 0.3406 0.0000 0.0000  3 F 2.41-2.44, 6 O 2.56-2.62
Ce5 0.6594 0.6594 0.5000  3 F 2.41-2.44, 6 O 2.56-2.62
Ce6 0.0000 0.3406 0.0000  3 F 2.41-2.44, 6 O 2.56-2.62
C1 0.7071 0.0295 0.2500  3 O 1.29-1.30
C2 0.6776 0.9705 0.7500  3 O 1.29-1.30
C3 0.9705 0.6776 0.2500  3 O 1.29-1.30
C4 0.3224 0.2929 0.2500  3 O 1.29-1.30
C5 0.2929 0.3224 0.7500  3 O 1.29-1.30
C6 0.0295 0.7071 0.7500  3 O 1.29-1.30
O1 0.2084 0.8897 0.7500  1 C 1.29
O2 0.3837 0.3245 0.6356  1 C 1.30
O3 0.0592 0.6755 0.1356  1 C 1.30
O4 0.1103 0.3187 0.7500  1 C 1.29
O5 0.6163 0.9408 0.3644  1 C 1.30
O6 0.3837 0.3245 0.8644  1 C 1.30
O7 0.9408 0.6163 0.6356  1 C 1.30
O8 0.6755 0.0592 0.6356  1 C 1.30
O9 0.3245 0.3837 0.3644  1 C 1.30
O10 0.3187 0.1103 0.2500  1 C 1.29
O11 0.6813 0.7916 0.7500  1 C 1.29
O12 0.3245 0.3837 0.1356  1 C 1.30
O13 0.6755 0.0592 0.8644  1 C 1.30
O14 0.7916 0.6813 0.2500  1 C 1.29
O15 0.9408 0.6163 0.8644  1 C 1.30
O16 0.8897 0.2084 0.2500  1 C 1.29
O17 0.0592 0.6755 0.3644  1 C 1.30
O18 0.6163 0.9408 0.1356  1 C 1.30
F1 0.3333 0.6667 0.5519  3 Ce 2.41
F2 0.6667 0.3333 0.4481  3 Ce 2.41
F3 0.6667 0.3333 0.0519  3 Ce 2.41
F4 0.3333 0.6667 0.9481  3 Ce 2.41
F5 0.0000 0.0000 0.5000  3 Ce 2.44
F6 0.0000 0.0000 0.0000  3 Ce 2.44

=====

# 3
This record from the Alexandria database describes an optimized crystal structure of Ce6C3OF2. The functional is PBE-GGA.

Values from the calculation:
E_form (uncorrected)	-1.510	eV/atom
size of the total moment	0.00	Bohr magnetons per cell
calculated total energy	-90.10	eV/cell
space-group type	C2/m

abc: 3.6384 7.2420 8.0872
angles: 102.21 103.00 90.00
Last column: nearest neighbours and their distance in Å.
Positions (direct):
Ce1 0.3338 0.9267 0.6676  3 C 2.52-2.58, 1 O 2.56, 2 F 2.62
Ce2 0.6624 0.5928 0.3247  3 C 2.50-2.51, 3 F 2.62-2.63
Ce3 0.6662 0.0733 0.3324  3 C 2.52-2.58, 1 O 2.56, 2 F 2.62
Ce4 0.9976 0.2468 0.9952  3 C 2.52-2.58, 2 O 2.56, 1 F 2.60
Ce5 0.0024 0.7532 0.0048  3 C 2.52-2.58, 2 O 2.56, 1 F 2.60
Ce6 0.3376 0.4072 0.6753  3 C 2.50-2.51, 3 F 2.62-2.63
C1 0.5000 0.5000 0.0000  6 Ce 2.50-2.58
C2 0.8340 0.1671 0.6679  6 Ce 2.51-2.58
C3 0.1660 0.8329 0.3321  6 Ce 2.51-2.58
O1 0.5000 0.0000 0.0000  6 Ce 2.56
F1 0.8336 0.6664 0.6672  6 Ce 2.60-2.63
F2 0.1664 0.3336 0.3328  6 Ce 2.60-2.63

=====

# 4
This record from the Alexandria database describes an optimized crystal structure of Ce6C3SF2. The functional is PBE-GGA.

Values from the calculation:
E_form (uncorrected)	-1.339	eV/atom
size of the total moment	1.24	Bohr magnetons per cell
calculated total energy	-87.22	eV/cell
space-group type	C2/m

abc: 3.6998 7.5687 8.4114
angles: 105.10 102.70 90.00
Last column: nearest neighbours and their distance in Å.
Positions (direct):
Ce1 0.3250 0.9277 0.6501  3 C 2.53-2.59, 2 F 2.75, 1 S 2.78
Ce2 0.6599 0.5992 0.3199  3 C 2.52-2.53, 3 F 2.70-2.74
Ce3 0.6750 0.0723 0.3499  3 C 2.53-2.59, 2 F 2.75, 1 S 2.78
Ce4 0.9975 0.2704 0.9950  3 C 2.53-2.58, 1 F 2.74, 2 S 2.77
Ce5 0.0025 0.7296 0.0050  3 C 2.53-2.58, 1 F 2.74, 2 S 2.77
Ce6 0.3401 0.4008 0.6801  3 C 2.52-2.53, 3 F 2.70-2.74
C1 0.5000 0.5000 0.0000  6 Ce 2.53
C2 0.8346 0.1712 0.6692  6 Ce 2.52-2.59
C3 0.1654 0.8288 0.3308  6 Ce 2.52-2.59
S1 0.5000 0.0000 0.0000  6 Ce 2.77-2.78
F1 0.8296 0.6616 0.6592  6 Ce 2.70-2.75
F2 0.1704 0.3384 0.3408  6 Ce 2.70-2.75

=====

# 5
This record from the Alexandria database describes an optimized crystal structure of Ce2FeC2. The functional is PBE-GGA.

Values from the calculation:
size of the total moment	0.00	Bohr magnetons per cell
calculated total energy	-78.56	eV/cell
space-group type	C2/m

abc: 3.5017 5.7822 8.4578
angles: 63.78 78.05 72.37
Last column: nearest neighbours and their distance in Å.
Positions (direct):
Ce1 0.6741 0.2644 0.3874  1 Fe 2.54, 6 C 2.55-2.72
Ce2 0.8917 0.2794 0.9373  4 C 2.49-2.68
Ce3 0.3259 0.7356 0.6126  1 Fe 2.54, 6 C 2.55-2.72
Ce4 0.1083 0.7206 0.0627  4 C 2.49-2.68
Fe1 0.5705 0.1411 0.7179  1 C 1.86
Fe2 0.4295 0.8589 0.2821  1 C 1.86
C1 0.0075 0.3947 0.5903  1 C 1.47
C2 0.7011 0.7717 0.8262  1 Fe 1.86
C3 0.9925 0.6053 0.4097  1 C 1.47
C4 0.2989 0.2283 0.1738  1 Fe 1.86

=====

# 6
This record from the Alexandria database describes an optimized crystal structure of Ce4Fe3C5. The functional is PBE-GGA.

Values from the calculation:
size of the total moment	1.19	Bohr magnetons per cell
calculated total energy	-97.31	eV/cell
space-group type	C2/m

abc: 3.7574 6.0866 8.9290
angles: 73.45 77.85 72.02
Last column: nearest neighbours and their distance in Å.
Positions (direct):
Ce1 0.9022 0.2937 0.9018  3 C 2.41-2.65
Ce2 0.2596 0.8145 0.6662  5 C 2.58-2.63
Ce3 0.7404 0.1855 0.3338  5 C 2.58-2.63
Ce4 0.0978 0.7063 0.0982  3 C 2.41-2.65
Fe1 0.4540 0.7621 0.3299  2 C 1.86
Fe2 0.0000 0.5000 0.5000  2 C 1.88
Fe3 0.5460 0.2379 0.6701  2 C 1.86
C1 0.6066 0.9583 0.8285  1 C 1.38
C2 0.5000 0.5000 0.5000  4 Fe 1.86-1.88
C3 0.2990 0.2850 0.1170  1 C 1.38
C4 0.7010 0.7150 0.8830  1 C 1.38
C5 0.3934 0.0417 0.1715  1 C 1.38

=====

# 7
This record from the Alexandria database describes an optimized crystal structure of CeFeC. The functional is PBE-GGA.

Values from the calculation:
size of the total moment	0.01	Bohr magnetons per cell
calculated total energy	-23.69	eV/cell
space-group type	P-6m2

abc: 4.1539 3.4037 3.4037
angles: 120.00 90.00 90.00
Last column: nearest neighbours and their distance in Å.
Positions (direct):
C1 0.1667 0.0000 0.0000  3 Fe 1.97
Fe1 0.1667 0.3333 0.6667  3 C 1.97
Ce1 0.6666 0.6667 0.3333  6 C 2.86, 6 Fe 2.86

=====

# 8
This record from the Alexandria database describes an optimized crystal structure of CeFeC. The functional is PBE-GGA.

Values from the calculation:
size of the total moment	0.00	Bohr magnetons per cell
calculated total energy	-97.01	eV/cell
space-group type	P2_12_12_1

abc: 3.4961 5.7111 8.6321
angles: 90.00 90.00 90.00
Last column: nearest neighbours and their distance in Å.
Positions (direct):
Fe1 0.6093 0.8423 0.9207  3 C 1.92-1.98
Fe2 0.1093 0.6577 0.0793  3 C 1.92-1.98
Fe3 0.3907 0.3423 0.5793  3 C 1.92-1.98
Fe4 0.8907 0.1577 0.4207  3 C 1.92-1.98
Ce1 0.6398 0.1603 0.1682  1 Fe 2.35, 2 C 2.51-2.58
Ce2 0.1398 0.3397 0.8318  1 Fe 2.35, 2 C 2.51-2.58
Ce3 0.3602 0.6603 0.3318  1 Fe 2.35, 2 C 2.51-2.58
Ce4 0.8602 0.8397 0.6682  1 Fe 2.35, 2 C 2.51-2.58
C1 0.1178 0.9634 0.9809  3 Fe 1.92-1.98
C2 0.6178 0.5366 0.0191  3 Fe 1.92-1.98
C3 0.8822 0.4634 0.5191  3 Fe 1.92-1.98
C4 0.3822 0.0366 0.4809  3 Fe 1.92-1.98